Computed, not measured: a relaxed PmBe2Pt5 crystal at the GGA-PBE level of DFT.

The structure belongs to space group Immm (No. 71); the cell edges are 3.907, 6.672 and 9.656 Å and the angles 90.00°, 90.00° and 90.00°. Symmetry generates all atoms from Pm at (0.000, 0.000, 0.000), Be at (0.000, 0.500, 0.232), Pt at (0.000, 0.206, 0.349) and Pt at (0.000, 0.500, 0.000).

For the energy of formation, the calculation gives -0.82 eV per atom. The calculation puts the total moment at 0.00 μB/atom. The density is 15.0 g/cm3. The total energy comes out at -6.123 eV/atom.

Computed, not measured: a relaxed PmBe2Pt10 crystal at the GGA-PBE level of DFT.

The structure belongs to space group Fmmm (No. 69); the cell edges are 5.236, 12.508 and 12.650 Å and the angles 90.00°, 90.00° and 90.00°. Symmetry generates all atoms from Pm at (0.000, 0.000, 0.000), Be at (0.250, 0.000, 0.250), Pt at (0.000, 0.105, 0.381), Pt at (0.000, 0.160, 0.177) and Pt at (0.250, 0.250, 0.000).

For the energy of formation, the calculation gives -0.47 eV per atom. The calculation puts the total moment at 0.00 μB/atom. The density is 16.9 g/cm3. The total energy comes out at -6.051 eV/atom.

Computed, not measured: a relaxed Pm2Be2Pt5 crystal at the GGA-PBE level of DFT.

The structure belongs to space group P4/mmm (No. 123); the cell edges are 4.120, 4.120 and 9.079 Å and the angles 90.00°, 90.00° and 90.00°. Symmetry generates all atoms from Pm at (0.000, 0.000, 0.000), Pm at (0.000, 0.000, 0.500), Be at (0.500, 0.500, 0.142), Pt at (0.000, 0.500, 0.256) and Pt at (0.500, 0.500, 0.500).

For the energy of formation, the calculation gives -0.91 eV per atom. The calculation puts the total moment at 0.00 μB/atom. The density is 13.8 g/cm3. The total energy comes out at -6.148 eV/atom.

Computed, not measured: a relaxed PmBe2Pt2 crystal at the GGA-PBE level of DFT.

The structure belongs to space group Fmmm (No. 69); the cell edges are 5.394, 6.159 and 9.816 Å and the angles 90.00°, 90.00° and 90.00°. Symmetry generates all atoms from Pm at (0.000, 0.000, 0.000), Be at (0.250, 0.250, 0.250) and Pt at (0.000, 0.000, 0.358).

For the energy of formation, the calculation gives -0.83 eV per atom. The relative energy among the computed polymorphs is 0.232 eV/f.u. The calculation puts the total moment at 0.00 μB/atom. The density is 11.3 g/cm3. The total energy comes out at -5.683 eV/atom.

Computed, not measured: a relaxed Pm2Be2Pt3 crystal at the GGA-PBE level of DFT.

The structure belongs to space group C2/m (No. 12); the cell edges are 10.255, 3.766 and 7.083 Å and the angles 90.00°, 114.36° and 90.00°. Symmetry generates all atoms from Pm at (0.134, 0.000, 0.268), Be at (0.146, 0.000, 0.750), Pt at (0.000, 0.500, 0.500) and Pt at (0.130, 0.500, 0.938).

For the energy of formation, the calculation gives -0.82 eV per atom. The relative energy among the computed polymorphs is 0.179 eV/f.u. The calculation puts the total moment at 0.00 μB/atom. The density is 11.9 g/cm3. The total energy comes out at -5.833 eV/atom.

Computed, not measured: a relaxed Pm2Be3Pt4 crystal at the GGA-PBE level of DFT.

The structure belongs to space group Fmmm (No. 69); the cell edges are 5.355, 9.128 and 12.431 Å and the angles 90.00°, 90.00° and 90.00°. Symmetry generates all atoms from Pm at (0.000, 0.000, 0.148), Be at (0.000, 0.000, 0.500), Be at (0.250, 0.250, 0.000) and Pt at (0.000, 0.167, 0.359).

For the energy of formation, the calculation gives -0.79 eV per atom. The calculation puts the total moment at 0.00 μB/atom. The density is 12.0 g/cm3. The total energy comes out at -5.771 eV/atom.

Computed, not measured: a relaxed PmBe2Pt6 crystal at the GGA-PBE level of DFT.

The structure belongs to space group P-31m (No. 162); the cell edges are 4.7680, 4.7680 and 8.3556 Å and the angles 90.00°, 90.00° and 120.00°. Symmetry generates all atoms from Pm at (0.0000, 0.0000, 0.0000), Be at (0.3333, 0.6667, 0.5000) and Pt at (0.0000, 0.3393, 0.7062).

For the energy of formation, the calculation gives -0.50 eV per atom. The calculation puts the total moment at 0.00 μB/atom. The density is 13.5 g/cm3. The total energy comes out at -5.882 eV/atom.

Computed, not measured: a relaxed Pm2Be2Pt3 crystal at the GGA-PBE level of DFT.

The structure belongs to space group Cmcm (No. 63); the cell edges are 4.011, 18.633 and 7.008 Å and the angles 90.00°, 90.00° and 90.00°. Symmetry generates all atoms from Pm at (0.000, 0.055, 0.250), Pm at (0.000, 0.167, 0.750), Be at (0.000, 0.317, 0.582), Pt at (0.000, 0.214, 0.250) and Pt at (0.000, 0.429, 0.055).

For the energy of formation, the calculation gives -0.85 eV per atom. The relative energy among the computed polymorphs is 0.000 eV/f.u. The calculation puts the total moment at 0.00 μB/atom. The density is 11.3 g/cm3. The total energy comes out at -5.859 eV/atom.

Q: The highest energy of formation belongs to which entry?
A: PmBe2Pt10

Q: Among the records above, which one has the highest energy of formation?
A: PmBe2Pt10

Q: What is the formula in the third record?
A: Pm2Be2Pt5

Please write out number 2 again, unchanged.
Computed, not measured: a relaxed PmBe2Pt10 crystal at the GGA-PBE level of DFT.

The structure belongs to space group Fmmm (No. 69); the cell edges are 5.236, 12.508 and 12.650 Å and the angles 90.00°, 90.00° and 90.00°. Symmetry generates all atoms from Pm at (0.000, 0.000, 0.000), Be at (0.250, 0.000, 0.250), Pt at (0.000, 0.105, 0.381), Pt at (0.000, 0.160, 0.177) and Pt at (0.250, 0.250, 0.000).

For the energy of formation, the calculation gives -0.47 eV per atom. The calculation puts the total moment at 0.00 μB/atom. The density is 16.9 g/cm3. The total energy comes out at -6.051 eV/atom.